Entry 1:
# SiBPbC2

An optimized crystal structure of SiBPbC2 (GGA-PBE, the Alexandria database).

- raw formation energy (eV/atom) = 2.023
- VASP energy (Ry per atom) = -0.3549
- magnetic moment (μB per cell) = 0.003

a = 3.667 Å, b = 3.667 Å, c = 6.206 Å
α = 90.00°, β = 90.00°, γ = 90.00°
Space group P4/mmm (No. 123)
One atom of each set of equivalent atoms:
Si (0.000, 0.000, 0.000) (multiplicity 1)
B (0.500, 0.500, 0.500) (multiplicity 1)
Pb (0.000, 0.000, 0.500) (multiplicity 1)
C (0.000, 0.500, 0.000) (multiplicity 2)

=====

Entry 2:
# CaY

An optimized crystal structure of CaY (GGA-PBE, the Alexandria database).

- VASP energy (Ry per atom) = -0.3067
- energy above the lowest structure with this stoichiometry (meV/atom) = 12.3
- magnetic moment (μB per cell) = 0.000

a = 6.382 Å, b = 3.678 Å, c = 12.597 Å
α = 90.00°, β = 99.60°, γ = 90.00°
Space group C2/m (No. 12)
One atom of each set of equivalent atoms:
Ca (0.121, 0.000, 0.365) (multiplicity 4)
Y (0.203, 0.500, 0.112) (multiplicity 4)

=====

Entry 3:
# PmC2

An optimized crystal structure of PmC2 (GGA-PBE, the Alexandria database).

- VASP energy (Ry per atom) = -0.5735
- energy above the lowest structure with this stoichiometry (meV/atom) = 77.8
- magnetic moment (μB per cell) = 0.000

a = 6.114 Å, b = 5.221 Å, c = 3.876 Å
α = 90.00°, β = 128.52°, γ = 90.00°
Space group C2/m (No. 12)
One atom of each set of equivalent atoms:
Pm (0.000, 0.000, 0.000) (multiplicity 2)
C (0.136, 0.500, 0.142) (multiplicity 4)

=====

Entry 4:
# Ti6BeZn

An optimized crystal structure of Ti6BeZn (GGA-PBE, the Alexandria database).

- VASP energy (Ry per atom) = -0.4855
- energy above the lowest structure with this stoichiometry (meV/atom) = 0.0
- magnetic moment (μB per cell) = 0.000

a = 3.967 Å, b = 3.967 Å, c = 7.909 Å
α = 90.00°, β = 90.00°, γ = 90.00°
Space group P4/mmm (No. 123)
One atom of each set of equivalent atoms:
Ti (0.000, 0.000, 0.000) (multiplicity 1)
Ti (0.000, 0.000, 0.500) (multiplicity 1)
Ti (0.000, 0.500, 0.242) (multiplicity 4)
Be (0.500, 0.500, 0.000) (multiplicity 1)
Zn (0.500, 0.500, 0.500) (multiplicity 1)

=====

Entry 5:
# BeAl2SiW

An optimized crystal structure of BeAl2SiW (GGA-PBE, the Alexandria database).

- raw formation energy (eV/atom) = 1.205
- VASP energy (Ry per atom) = -0.3464
- magnetic moment (μB per cell) = 0.000

a = 4.858 Å, b = 4.858 Å, c = 4.419 Å
α = 90.00°, β = 90.00°, γ = 90.00°
Space group P4/mmm (No. 123)
One atom of each set of equivalent atoms:
Be (0.000, 0.000, 0.000) (multiplicity 1)
Al (0.000, 0.500, 0.500) (multiplicity 2)
Si (0.500, 0.500, 0.000) (multiplicity 1)
W (0.000, 0.000, 0.500) (multiplicity 1)

=====

Entry 6:
# MnTl2AgSe4

An optimized crystal structure of MnTl2AgSe4 (GGA-PBE, the Alexandria database).

- raw formation energy (eV/atom) = -0.257
- VASP energy (Ry per atom) = -0.3009
- magnetic moment (μB per cell) = 8.238

a = 8.869 Å, b = 12.285 Å, c = 6.271 Å
α = 90.00°, β = 134.98°, γ = 90.00°
Space group C2 (No. 5)
One atom of each set of equivalent atoms:
Mn (0.000, 0.000, 0.000) (multiplicity 2)
Tl (0.000, 0.500, 0.000) (multiplicity 2)
Tl (0.000, 0.750, 0.500) (multiplicity 2)
Ag (0.000, 0.250, 0.500) (multiplicity 2)
Se (0.215, 0.122, 0.988) (multiplicity 4)
Se (0.228, 0.877, 0.443) (multiplicity 4)

=====

Entry 7:
# Al3SeO

An optimized crystal structure of Al3SeO (GGA-PBE, the Alexandria database).

- raw formation energy (eV/atom) = 0.939
- VASP energy (Ry per atom) = -0.2202
- energy above the lowest structure with this stoichiometry (meV/atom) = 1183.1
- magnetic moment (μB per cell) = 0.000

a = 5.006 Å, b = 5.006 Å, c = 5.006 Å
α = 90.00°, β = 90.00°, γ = 90.00°
Space group Pm-3m (No. 221)
One atom of each set of equivalent atoms:
Al (0.000, 0.000, 0.500) (multiplicity 3)
Se (0.000, 0.000, 0.000) (multiplicity 1)
O (0.500, 0.500, 0.500) (multiplicity 1)

=====

Entry 8:
# BaCaGdMg

An optimized crystal structure of BaCaGdMg (GGA-PBE, the Alexandria database).

- VASP energy (Ry per atom) = -0.3511
- magnetic moment (μB per cell) = 31.638

a = 8.465 Å, b = 8.465 Å, c = 8.465 Å
α = 90.00°, β = 90.00°, γ = 90.00°
Space group F-43m (No. 216)
One atom of each set of equivalent atoms:
Ba (0.000, 0.000, 0.000) (multiplicity 4)
Ca (0.250, 0.250, 0.750) (multiplicity 4)
Gd (0.000, 0.000, 0.500) (multiplicity 4)
Mg (0.250, 0.250, 0.250) (multiplicity 4)

=====

Entry 9:
# ZnMo2AsH

An optimized crystal structure of ZnMo2AsH (GGA-PBE, the Alexandria database).

- VASP energy (Ry per atom) = -0.3805
- magnetic moment (μB per cell) = 0.000

a = 4.875 Å, b = 4.875 Å, c = 3.009 Å
α = 90.00°, β = 90.00°, γ = 90.00°
Space group P4/mmm (No. 123)
One atom of each set of equivalent atoms:
Zn (0.000, 0.000, 0.000) (multiplicity 1)
Mo (0.000, 0.500, 0.000) (multiplicity 2)
As (0.500, 0.500, 0.500) (multiplicity 1)
H (0.000, 0.000, 0.500) (multiplicity 1)

=====

Entry 10:
# PmHo5Er

An optimized crystal structure of PmHo5Er (GGA-PBE, the Alexandria database).

- VASP energy (Ry per atom) = -0.2664
- energy above the lowest structure with this stoichiometry (meV/atom) = 869.0
- magnetic moment (μB per cell) = 0.000

a = 7.989 Å, b = 11.615 Å, c = 6.128 Å
α = 90.00°, β = 90.00°, γ = 90.00°
Space group Imm2 (No. 44)
One atom of each set of equivalent atoms:
Pm (0.000, 0.000, 0.000) (multiplicity 2)
Ho (0.000, 0.256, 0.001) (multiplicity 4)
Ho (0.000, 0.500, 0.739) (multiplicity 2)
Ho (0.180, 0.000, 0.500) (multiplicity 4)
Er (0.000, 0.500, 0.261) (multiplicity 2)

=====

Entry 11:
# Tb2Pr3Ho8

An optimized crystal structure of Tb2Pr3Ho8 (GGA-PBE, the Alexandria database).

- VASP energy (Ry per atom) = -0.3288
- energy above the lowest structure with this stoichiometry (meV/atom) = 135.6
- magnetic moment (μB per cell) = 0.000

a = 8.134 Å, b = 5.242 Å, c = 10.544 Å
α = 90.00°, β = 104.42°, γ = 90.00°
Space group P2/m (No. 10)
One atom of each set of equivalent atoms:
Tb (0.175, 0.000, 0.094) (multiplicity 2)
Pr (0.226, 0.500, 0.571) (multiplicity 2)
Pr (0.500, 0.000, 0.500) (multiplicity 1)
Ho (0.040, 0.000, 0.352) (multiplicity 2)
Ho (0.115, 0.500, 0.883) (multiplicity 2)
Ho (0.340, 0.500, 0.266) (multiplicity 2)
Ho (0.389, 0.000, 0.822) (multiplicity 2)

=====

Entry 12:
# Tb2NdTe3

An optimized crystal structure of Tb2NdTe3 (GGA-PBE, the Alexandria database).

- raw formation energy (eV/atom) = -1.347
- VASP energy (Ry per atom) = -0.3863
- magnetic moment (μB per cell) = 0.000

a = 4.431 Å, b = 6.222 Å, c = 13.247 Å
α = 90.00°, β = 90.00°, γ = 90.00°
Space group Immm (No. 71)
One atom of each set of equivalent atoms:
Tb (0.000, 0.000, 0.159) (multiplicity 4)
Nd (0.000, 0.000, 0.500) (multiplicity 2)
Te (0.000, 0.500, 0.174) (multiplicity 4)
Te (0.000, 0.500, 0.500) (multiplicity 2)

=====

Entry 13:
# La6Ti3S14

An optimized crystal structure of La6Ti3S14 (GGA-PBE, the Alexandria database).

- raw formation energy (eV/atom) = -1.884
- VASP energy (Ry per atom) = -0.4933
- magnetic moment (μB per cell) = 2.038

a = 10.3657 Å, b = 10.3657 Å, c = 5.8946 Å
α = 90.00°, β = 90.00°, γ = 120.00°
Space group P3 (No. 143)
One atom of each set of equivalent atoms:
La (0.0244, 0.5632, 0.0000) (multiplicity 3)
La (0.3072, 0.1017, 0.5006) (multiplicity 3)
Ti (0.0000, 0.0000, 0.9217) (multiplicity 1)
Ti (0.3333, 0.6667, 0.4163) (multiplicity 1)
Ti (0.6667, 0.3333, 0.2666) (multiplicity 1)
S (0.0000, 0.0000, 0.3041) (multiplicity 1)
S (0.0804, 0.8495, 0.7756) (multiplicity 3)
S (0.1852, 0.4360, 0.2708) (multiplicity 3)
S (0.3333, 0.6667, 0.7985) (multiplicity 1)
S (0.4289, 0.1810, 0.0326) (multiplicity 3)
S (0.5117, 0.4158, 0.4966) (multiplicity 3)

=====

Entry 14:
# K2HgPtCl6

An optimized crystal structure of K2HgPtCl6 (GGA-PBE, the Alexandria database).

- raw formation energy (eV/atom) = -1.042
- VASP energy (Ry per atom) = -0.2208
- magnetic moment (μB per cell) = 0.000

a = 6.9888 Å, b = 6.9888 Å, c = 53.2296 Å
α = 90.00°, β = 90.00°, γ = 120.00°
Space group R-3m (No. 166, hexagonal axes)
One atom of each set of equivalent atoms:
K (0.0000, 0.0000, 0.1448) (multiplicity 6)
K (0.0000, 0.0000, 0.3127) (multiplicity 6)
Hg (0.0000, 0.0000, 0.4098) (multiplicity 6)
Pt (0.0000, 0.0000, 0.0000) (multiplicity 3)
Pt (0.0000, 0.0000, 0.5000) (multiplicity 3)
Cl (0.0162, 0.5081, 0.1411) (multiplicity 18)
Cl (0.0174, 0.5087, 0.6926) (multiplicity 18)

=====

Entry 15:
# RbPmTiSe4

An optimized crystal structure of RbPmTiSe4 (GGA-PBE, the Alexandria database).

- raw formation energy (eV/atom) = -1.456
- VASP energy (Ry per atom) = -0.3963
- magnetic moment (μB per cell) = 0.000

a = 6.966 Å, b = 7.070 Å, c = 9.554 Å
α = 90.00°, β = 108.18°, γ = 90.00°
Space group P2_1/m (No. 11)
One atom of each set of equivalent atoms:
Rb (0.234, 0.250, 0.439) (multiplicity 2)
Pm (0.282, 0.250, 0.954) (multiplicity 2)
Ti (0.272, 0.750, 0.170) (multiplicity 2)
Se (0.066, 0.750, 0.923) (multiplicity 2)
Se (0.067, 0.750, 0.327) (multiplicity 2)
Se (0.489, 0.507, 0.791) (multiplicity 4)